(1)
Crystalline TbUTe2 at its relaxed geometry, computed with GGA-PBE.

The structure belongs to space group P4/mmm (No. 123); the cell edges are 3.7562, 3.7562 and 7.6085 Å and the angles 90.00°, 90.00° and 90.00°. Symmetry generates all atoms from Tb at (0.0000, 0.0000, 0.0000), U at (0.0000, 0.0000, 0.5000) and Te at (0.5000, 0.5000, 0.2503).

The calculation puts the formation energy without anion corrections at -0.79 eV per atom. As for the offset from the most stable computed form: 0.0 meV/atom.


(2)
Crystalline TbU2Te4 at its relaxed geometry, computed with GGA-PBE.

The structure belongs to space group Cmcm (No. 63); the cell edges are 4.1572, 14.1253 and 15.4222 Å and the angles 90.00°, 90.00° and 90.00°. Symmetry generates all atoms from Tb at (0.0000, 0.1086, 0.2500), U at (0.0000, 0.3556, 0.0634), Te at (0.0000, 0.0000, 0.0000), Te at (0.0000, 0.2891, 0.6303) and Te at (0.0000, 0.4455, 0.2500).

The calculation puts the formation energy without anion corrections at -0.76 eV per atom.


(3)
Crystalline Tb3UTe6 at its relaxed geometry, computed with GGA-PBE.

The structure belongs to space group Cmc2_1 (No. 36); the cell edges are 11.9285, 14.9327 and 7.6818 Å and the angles 90.00°, 90.00° and 90.00°. Symmetry generates all atoms from Tb at (0.0000, 0.0920, 0.0000), Tb at (0.1855, 0.3955, 0.8869), U at (0.0000, 0.3337, 0.3686), Te at (0.0000, 0.2666, 0.7474), Te at (0.0000, 0.4953, 0.1166), Te at (0.1679, 0.0372, 0.7030) and Te at (0.1722, 0.2297, 0.1568).

The calculation puts the formation energy without anion corrections at -1.08 eV per atom. As for the offset from the most stable computed form: 111.8 meV/atom.


(4)
Crystalline Tb2U2Te7 at its relaxed geometry, computed with GGA-PBE.

The structure belongs to space group Imm2 (No. 44); the cell edges are 4.2505, 16.0740 and 9.7126 Å and the angles 90.00°, 90.00° and 90.00°. Symmetry generates all atoms from Tb at (0.0000, 0.2404, 0.0000), U at (0.0000, 0.0000, 0.7725), U at (0.0000, 0.5000, 0.8234), Te at (0.0000, 0.0000, 0.0875), Te at (0.0000, 0.1083, 0.4944), Te at (0.0000, 0.3202, 0.7042) and Te at (0.0000, 0.3631, 0.3169).

The calculation puts the formation energy without anion corrections at -0.94 eV per atom.


(5)
Crystalline TbUTe at its relaxed geometry, computed with GGA-PBE.

The structure belongs to space group I4/mmm (No. 139); the cell edges are 4.1509, 4.1509 and 17.8805 Å and the angles 90.00°, 90.00° and 90.00°. Symmetry generates all atoms from Tb at (0.0000, 0.0000, 0.1844), U at (0.0000, 0.5000, 0.0000) and Te at (0.0000, 0.0000, 0.3618).

The calculation puts the formation energy without anion corrections at -0.62 eV per atom.


(6)
Crystalline Tb3UTe6 at its relaxed geometry, computed with GGA-PBE.

The structure belongs to space group P2_1/m (No. 11); the cell edges are 12.5139, 4.3438 and 12.8459 Å and the angles 90.00°, 109.12° and 90.00°. Symmetry generates all atoms from Tb at (0.0699, 0.2500, 0.1646), Tb at (0.1810, 0.7500, 0.5020), Tb at (0.3465, 0.2500, 0.9211), U at (0.4544, 0.2500, 0.3038), Te at (0.0154, 0.2500, 0.3803), Te at (0.1076, 0.2500, 0.9370), Te at (0.2483, 0.7500, 0.2803), Te at (0.3074, 0.7500, 0.7487), Te at (0.3877, 0.2500, 0.5337) and Te at (0.4148, 0.7500, 0.1015).

The calculation puts the formation energy without anion corrections at -1.19 eV per atom. As for the offset from the most stable computed form: 0.0 meV/atom.


(7)
Crystalline Tb2VTe at its relaxed geometry, computed with GGA-PBE.

The structure belongs to space group R-3m (No. 166, hexagonal axes); the cell edges are 3.7278, 3.7278 and 29.8175 Å and the angles 90.00°, 90.00° and 120.00°. Symmetry generates all atoms from Tb at (0.0000, 0.0000, 0.0946), V at (0.0000, 0.0000, 0.0000) and Te at (0.0000, 0.0000, 0.5000).

The calculation puts the formation energy without anion corrections at 0.28 eV per atom.


(8)
Crystalline TbYTe at its relaxed geometry, computed with GGA-PBE.

The structure belongs to space group Pnma (No. 62); the cell edges are 8.2654, 3.9442 and 10.7093 Å and the angles 90.00°, 90.00° and 90.00°. Symmetry generates all atoms from Tb at (0.1597, 0.2500, 0.0552), Y at (0.0052, 0.7500, 0.3366) and Te at (0.1961, 0.7500, 0.8291).

The calculation puts the formation energy without anion corrections at -0.87 eV per atom. As for the offset from the most stable computed form: 0.0 meV/atom.


(9)
Crystalline Tb2Y3Te6 at its relaxed geometry, computed with GGA-PBE.

The structure belongs to space group C2/m (No. 12); the cell edges are 7.5405, 12.9923 and 7.5112 Å and the angles 90.00°, 109.62° and 90.00°. Symmetry generates all atoms from Tb at (0.0000, 0.1640, 0.0000), Y at (0.0000, 0.0000, 0.5000), Y at (0.0000, 0.3298, 0.5000), Te at (0.2405, 0.5000, 0.7538) and Te at (0.2415, 0.3385, 0.2430).

The calculation puts the formation energy without anion corrections at -1.42 eV per atom.


(10)
Crystalline TbY2Te at its relaxed geometry, computed with GGA-PBE.

The structure belongs to space group P4/mmm (No. 123); the cell edges are 3.8732, 3.8732 and 7.9148 Å and the angles 90.00°, 90.00° and 90.00°. Symmetry generates all atoms from Tb at (0.0000, 0.0000, 0.0000), Y at (0.5000, 0.5000, 0.2758) and Te at (0.0000, 0.0000, 0.5000).

The calculation puts the formation energy without anion corrections at -0.57 eV per atom. As for the offset from the most stable computed form: 107.8 meV/atom.


(11)
Crystalline TbYTe6 at its relaxed geometry, computed with GGA-PBE.

The structure belongs to space group Amm2 (No. 38); the cell edges are 4.3466, 4.3451 and 26.9167 Å and the angles 90.00°, 90.00° and 90.00°. Symmetry generates all atoms from Tb at (0.0000, 0.0000, 0.0000), Y at (0.5000, 0.0000, 0.3460), Te at (0.0000, 0.0000, 0.2523), Te at (0.0000, 0.0000, 0.5935), Te at (0.0000, 0.0000, 0.8807), Te at (0.5000, 0.0000, 0.0935), Te at (0.5000, 0.0000, 0.4651) and Te at (0.5000, 0.0000, 0.7523).

The calculation puts the formation energy without anion corrections at -0.93 eV per atom.


(12)
Crystalline TbY3Te at its relaxed geometry, computed with GGA-PBE.

The structure belongs to space group C2/m (No. 12); the cell edges are 17.6287, 3.7691 and 10.0150 Å and the angles 90.00°, 105.75° and 90.00°. Symmetry generates all atoms from Tb at (0.2026, 0.0000, 0.3390), Y at (0.0016, 0.5000, 0.2044), Y at (0.1005, 0.5000, 0.5431), Y at (0.1786, 0.0000, 0.8467) and Te at (0.1377, 0.5000, 0.0680).

The calculation puts the formation energy without anion corrections at -0.37 eV per atom. As for the offset from the most stable computed form: 0.0 meV/atom.


(13)
Crystalline TbY2Te4 at its relaxed geometry, computed with GGA-PBE.

The structure belongs to space group C2/m (No. 12); the cell edges are 16.3291, 4.3513 and 7.5840 Å and the angles 90.00°, 117.31° and 90.00°. Symmetry generates all atoms from Tb at (0.0000, 0.0000, 0.0000), Y at (0.2440, 0.5000, 0.7298), Te at (0.1208, 0.0000, 0.4524) and Te at (0.1293, 0.5000, 0.9671).

The calculation puts the formation energy without anion corrections at -1.40 eV per atom. As for the offset from the most stable computed form: 0.0 meV/atom.


(14)
Crystalline TbYTe at its relaxed geometry, computed with GGA-PBE.

The structure belongs to space group I4mm (No. 107); the cell edges are 3.8796, 3.8796 and 11.5975 Å and the angles 90.00°, 90.00° and 90.00°. Symmetry generates all atoms from Tb at (0.0000, 0.0000, 0.0000), Y at (0.0000, 0.0000, 0.3109) and Te at (0.0000, 0.0000, 0.6569).

The calculation puts the formation energy without anion corrections at -0.79 eV per atom. As for the offset from the most stable computed form: 84.6 meV/atom.


(15)
Crystalline TbY2Te4 at its relaxed geometry, computed with GGA-PBE.

The structure belongs to space group Cmcm (No. 63); the cell edges are 4.2480, 14.3440 and 14.9663 Å and the angles 90.00°, 90.00° and 90.00°. Symmetry generates all atoms from Tb at (0.0000, 0.1281, 0.2500), Y at (0.0000, 0.3688, 0.0695), Te at (0.0000, 0.0000, 0.0000), Te at (0.0000, 0.2787, 0.6221) and Te at (0.0000, 0.4695, 0.2500).

The calculation puts the formation energy without anion corrections at -1.37 eV per atom. As for the offset from the most stable computed form: 38.4 meV/atom.


(16)
Crystalline TbY2Te2 at its relaxed geometry, computed with GGA-PBE.

The structure belongs to space group P2_1/m (No. 11); the cell edges are 6.1718, 4.1147 and 12.1834 Å and the angles 90.00°, 100.29° and 90.00°. Symmetry generates all atoms from Tb at (0.2183, 0.2500, 0.4656), Y at (0.1119, 0.2500, 0.7410), Y at (0.2763, 0.2500, 0.1189), Te at (0.2375, 0.7500, 0.9272) and Te at (0.4121, 0.7500, 0.3126).

The calculation puts the formation energy without anion corrections at -1.00 eV per atom.


(17)
Crystalline Tb3Y4Te8 at its relaxed geometry, computed with GGA-PBE.

The structure belongs to space group C2/m (No. 12); the cell edges are 12.3091, 12.3105 and 8.7045 Å and the angles 90.00°, 134.99° and 90.00°. Symmetry generates all atoms from Tb at (0.0000, 0.0000, 0.0000), Tb at (0.2500, 0.2500, 0.0000), Y at (0.0000, 0.0000, 0.5000), Y at (0.0000, 0.5000, 0.0000), Y at (0.2500, 0.2500, 0.5000), Te at (0.0000, 0.2502, 0.0000), Te at (0.0000, 0.2553, 0.5000), Te at (0.2444, 0.5000, 0.4995) and Te at (0.2445, 0.5000, 0.9895).

The calculation puts the formation energy without anion corrections at -1.39 eV per atom.


(18)
Crystalline TbY3Te4 at its relaxed geometry, computed with GGA-PBE.

The structure belongs to space group I4/mmm (No. 139); the cell edges are 6.1715, 6.1715 and 12.3795 Å and the angles 90.00°, 90.00° and 90.00°. Symmetry generates all atoms from Tb at (0.0000, 0.0000, 0.0000), Y at (0.0000, 0.0000, 0.5000), Y at (0.0000, 0.5000, 0.2500), Te at (0.0000, 0.0000, 0.2503) and Te at (0.0000, 0.5000, 0.0000).

The calculation puts the formation energy without anion corrections at -1.31 eV per atom. As for the offset from the most stable computed form: 6.2 meV/atom.


(19)
Crystalline Tb3YTe at its relaxed geometry, computed with GGA-PBE.

The structure belongs to space group C2/m (No. 12); the cell edges are 12.1088, 5.8209 and 9.1502 Å and the angles 90.00°, 96.24° and 90.00°. Symmetry generates all atoms from Tb at (0.0567, 0.0000, 0.3434), Tb at (0.1289, 0.5000, 0.6317), Tb at (0.1389, 0.0000, 0.9565), Y at (0.0774, 0.5000, 0.1548) and Te at (0.2124, 0.0000, 0.6328).

The calculation puts the formation energy without anion corrections at -0.35 eV per atom.


(20)
Crystalline TbY3Te at its relaxed geometry, computed with GGA-PBE.

The structure belongs to space group C2/m (No. 12); the cell edges are 11.6131, 9.3105 and 7.6786 Å and the angles 90.00°, 126.96° and 90.00°. Symmetry generates all atoms from Tb at (0.0671, 0.0000, 0.3665), Y at (0.0581, 0.5000, 0.3094), Y at (0.2350, 0.1880, 0.2140) and Te at (0.2395, 0.5000, 0.1122).

The calculation puts the formation energy without anion corrections at -0.35 eV per atom. As for the offset from the most stable computed form: 24.6 meV/atom.


(21)
Crystalline Tb3YTe6 at its relaxed geometry, computed with GGA-PBE.

The structure belongs to space group R-3 (No. 148, hexagonal axes); the cell edges are 12.8488, 12.8488 and 15.5278 Å and the angles 90.00°, 90.00° and 120.00°. Symmetry generates all atoms from Tb at (0.0570, 0.2748, 0.2002), Y at (0.0000, 0.0000, 0.0000), Y at (0.0000, 0.0000, 0.5000), Te at (0.0157, 0.2092, 0.3938) and Te at (0.0343, 0.1967, 0.8759).

The calculation puts the formation energy without anion corrections at -1.35 eV per atom. As for the offset from the most stable computed form: 31.9 meV/atom.


(22)
Crystalline TbYTe at its relaxed geometry, computed with GGA-PBE.

The structure belongs to space group P2_1/m (No. 11); the cell edges are 6.2412, 3.9995 and 7.8114 Å and the angles 90.00°, 107.01° and 90.00°. Symmetry generates all atoms from Tb at (0.1678, 0.2500, 0.3912), Y at (0.2114, 0.2500, 0.9489) and Te at (0.3741, 0.7500, 0.7066).

The calculation puts the formation energy without anion corrections at -0.82 eV per atom. As for the offset from the most stable computed form: 49.9 meV/atom.